DFT (PBE) results for crystalline BeTl3I at its relaxed geometry.

abc: 6.4546 6.4546 6.4546
angles: 90.00 90.00 90.00
Closest atoms and distances in Å follow each position.
Fractional positions:
1 Be 0.0000 0.0000 0.0000  12 Tl 4.56
2 Tl 0.0000 0.5000 0.5000  2 I 3.23
3 Tl 0.5000 0.0000 0.5000  2 I 3.23
4 Tl 0.5000 0.5000 0.0000  2 I 3.23
5 I 0.5000 0.5000 0.5000  6 Tl 3.23

Results
Space group = No. 221
E_form (uncorrected) = 0.81 eV/atom
E above lowest polymorph = 760 meV per atom

=====

DFT (PBE) results for crystalline BeTl3I at its relaxed geometry.

abc: 5.2752 5.2752 5.2752
angles: 90.00 90.00 90.00
Closest atoms and distances in Å follow each position.
Fractional positions:
1 Be 0.0000 0.0000 0.0000  6 Tl 2.64
2 Tl 0.0000 0.0000 0.5000  2 Be 2.64
3 Tl 0.0000 0.5000 0.0000  2 Be 2.64
4 Tl 0.5000 0.0000 0.0000  2 Be 2.64
5 I 0.5000 0.5000 0.5000  12 Tl 3.73

Results
Space group = No. 221
E_form (uncorrected) = 0.05 eV/atom
E above lowest polymorph = 0 meV per atom

=====

DFT (PBE) results for crystalline BeTl2VI at its relaxed geometry.

abc: 6.3509 6.3509 4.9128
angles: 90.00 90.00 90.00
Closest atoms and distances in Å follow each position.
Fractional positions:
1 Be 0.0000 0.0000 0.0000  8 Tl 4.01, 4 V 4.49
2 Tl 0.0000 0.5000 0.5000  2 I 3.18
3 Tl 0.5000 0.0000 0.5000  2 I 3.18
4 V 0.5000 0.5000 0.0000  2 I 2.46
5 I 0.5000 0.5000 0.5000  2 V 2.46

Results
Space group = No. 123
E_form (uncorrected) = 1.54 eV/atom

=====

DFT (PBE) results for crystalline BeTl2ZnI at its relaxed geometry.

abc: 5.1202 5.1202 5.6104
angles: 90.00 90.00 90.00
Closest atoms and distances in Å follow each position.
Fractional positions:
1 Be 0.0000 0.0000 0.0000  4 Tl 2.56, 2 I 2.81
2 Tl 0.0000 0.5000 0.0000  2 Be 2.56
3 Tl 0.5000 0.0000 0.0000  2 Be 2.56
4 Zn 0.5000 0.5000 0.5000  4 I 3.62, 8 Tl 3.80
5 I 0.0000 0.0000 0.5000  2 Be 2.81

Results
Space group = No. 123
E_form (uncorrected) = 0.29 eV/atom